(1)
A relaxed structure of Hg7Cl6. Source: the Alexandria database, functional PBE. Values from VASP.

## Properties
Crystal system   trigonal
Space group   R-3m (166)

Structure (Quantum ESPRESSO input):
```
&SYSTEM
  ibrav = 0, nat = 13, ntyp = 2
/
ATOMIC_SPECIES
Hg 200.59 Hg.upf
Cl 35.45 Cl.upf
CELL_PARAMETERS angstrom
-10.973 -3.086 0.831
-7.834 -7.883 2.664
-8.832 -3.314 6.452
ATOMIC_POSITIONS crystal
Hg 0.926 0.405 0.405
Hg 0.405 0.405 0.926
Hg 0.405 0.926 0.405
Hg 0.074 0.595 0.595
Hg 0.595 0.074 0.595
Hg 0.595 0.595 0.074
Hg 0.500 0.500 0.500
Cl 0.937 0.937 0.937
Cl 0.063 0.063 0.063
Cl 0.833 0.833 0.833
Cl 0.167 0.167 0.167
Cl 0.645 0.645 0.645
Cl 0.355 0.355 0.355
```


(2)
A relaxed structure of HgCl5. Source: the Alexandria database, functional PBE. Values from VASP.

## Properties
Polymorph energy (0 for the lowest one)   30 meV per atom
Crystal system   monoclinic
Space group   Cm (8)

Structure (Quantum ESPRESSO input):
```
&SYSTEM
  ibrav = 0, nat = 6, ntyp = 2
/
ATOMIC_SPECIES
Cl 35.45 Cl.upf
Hg 200.59 Hg.upf
CELL_PARAMETERS angstrom
-6.049 3.915 2.990
-6.912 3.557 -0.656
-2.052 -6.419 1.116
ATOMIC_POSITIONS crystal
Cl 0.929 0.929 0.833
Cl 0.395 0.395 0.173
Cl 0.681 0.681 0.837
Cl 0.682 0.682 0.345
Cl 0.932 0.932 0.541
Hg 0.214 0.214 0.104
```


(3)
A relaxed structure of Hg3Cl. Source: the Alexandria database, functional PBE. Values from VASP.

## Properties
Polymorph energy (0 for the lowest one)   96 meV per atom
Crystal system   tetragonal
Space group   I4/mmm (139)

Structure (Quantum ESPRESSO input):
```
&SYSTEM
  ibrav = 0, nat = 4, ntyp = 2
/
ATOMIC_SPECIES
Hg 200.59 Hg.upf
Cl 35.45 Cl.upf
CELL_PARAMETERS angstrom
-6.373 -1.566 -1.633
-2.118 -5.651 -3.051
3.877 2.286 5.047
ATOMIC_POSITIONS crystal
Hg 0.250 0.750 0.500
Hg 0.500 0.500 0.000
Hg 0.750 0.250 0.500
Cl 0.000 0.000 0.000
```


(4)
A relaxed structure of HgCl. Source: the Alexandria database, functional PBE. Values from VASP.

## Properties
Polymorph energy (0 for the lowest one)   342 meV per atom
Crystal system   tetragonal
Space group   I4_1/amd (141)

Structure (Quantum ESPRESSO input):
```
&SYSTEM
  ibrav = 0, nat = 4, ntyp = 2
/
ATOMIC_SPECIES
Hg 200.59 Hg.upf
Cl 35.45 Cl.upf
CELL_PARAMETERS angstrom
7.704 0.002 0.000
5.581 5.310 0.000
-6.643 -2.656 2.858
ATOMIC_POSITIONS crystal
Hg 0.500 0.500 0.000
Hg 0.750 0.250 0.500
Cl 0.000 0.000 0.000
Cl 0.250 0.750 0.500
```


| no. | uncorrected formation energy (eV/atom) | total magnetic moment (μB/cell) |
| --- | --- | --- |
| 1 | -0.131 | 0.00 |
| 2 | -0.132 | 0.59 |
| 3 | -0.119 | 0.00 |
| 4 | -0.200 | 0.00 |